# Sr2RhW PBE-GGA relaxed
# Magnetization   10.2 μB per cell
# DFT formation energy   786 meV per atom
# Calculated total energy   -5.13 eV per atom
# Energy above the lowest structure with this stoichiometry   394 meV per atom
data_Sr2RhW
_symmetry_space_group_name_H-M 'P 1'
_symmetry_Int_Tables_number 1
_cell_length_a 11.297
_cell_length_b 11.297
_cell_length_c 4.799
_cell_angle_alpha 90.00
_cell_angle_beta 90.00
_cell_angle_gamma 90.00
loop_
_symmetry_equiv_pos_as_xyz
'x,y,z'
loop_
_atom_site_label
_atom_site_type_symbol
_atom_site_fract_x
_atom_site_fract_y
_atom_site_fract_z
_atom_site_occupancy
Sr1 Sr 0.081 0.750 0.125 1
Sr2 Sr 0.250 0.081 0.875 1
Sr3 Sr 0.250 0.419 0.375 1
Sr4 Sr 0.419 0.750 0.625 1
Sr5 Sr 0.581 0.250 0.625 1
Sr6 Sr 0.750 0.581 0.375 1
Sr7 Sr 0.750 0.919 0.875 1
Sr8 Sr 0.919 0.250 0.125 1
Rh1 Rh 0.000 0.000 0.000 1
Rh2 Rh 0.000 0.500 0.250 1
Rh3 Rh 0.500 0.000 0.750 1
Rh4 Rh 0.500 0.500 0.500 1
W1 W 0.000 0.000 0.500 1
W2 W 0.000 0.500 0.750 1
W3 W 0.500 0.000 0.250 1
W4 W 0.500 0.500 0.000 1



# LaCuN2O PBE-GGA relaxed
# Magnetization   0.0 μB per cell
# Calculated total energy   -6.47 eV per atom
data_LaCuN2O
_symmetry_space_group_name_H-M 'P 1'
_symmetry_Int_Tables_number 1
_cell_length_a 3.812
_cell_length_b 3.812
_cell_length_c 4.068
_cell_angle_alpha 90.00
_cell_angle_beta 90.00
_cell_angle_gamma 90.00
loop_
_symmetry_equiv_pos_as_xyz
'x,y,z'
loop_
_atom_site_label
_atom_site_type_symbol
_atom_site_fract_x
_atom_site_fract_y
_atom_site_fract_z
_atom_site_occupancy
La1 La 0.000 0.000 0.000 1
Cu1 Cu 0.500 0.500 0.500 1
N1 N 0.000 0.500 0.500 1
N2 N 0.500 0.000 0.500 1
O1 O 0.500 0.500 0.000 1



# KRbIr2 PBE-GGA relaxed
# Magnetization   7.8 μB per cell
# DFT formation energy   1846 meV per atom
# Calculated total energy   -3.10 eV per atom
# Energy above the lowest structure with this stoichiometry   522 meV per atom
data_KRbIr2
_symmetry_space_group_name_H-M 'P 1'
_symmetry_Int_Tables_number 1
_cell_length_a 7.466
_cell_length_b 7.466
_cell_length_c 7.466
_cell_angle_alpha 90.00
_cell_angle_beta 90.00
_cell_angle_gamma 90.00
loop_
_symmetry_equiv_pos_as_xyz
'x,y,z'
loop_
_atom_site_label
_atom_site_type_symbol
_atom_site_fract_x
_atom_site_fract_y
_atom_site_fract_z
_atom_site_occupancy
K1 K 0.000 0.000 0.000 1
K2 K 0.000 0.500 0.500 1
K3 K 0.500 0.000 0.500 1
K4 K 0.500 0.500 0.000 1
Rb1 Rb 0.000 0.000 0.500 1
Rb2 Rb 0.000 0.500 0.000 1
Rb3 Rb 0.500 0.000 0.000 1
Rb4 Rb 0.500 0.500 0.500 1
Ir1 Ir 0.250 0.250 0.250 1
Ir2 Ir 0.250 0.250 0.750 1
Ir3 Ir 0.250 0.750 0.250 1
Ir4 Ir 0.250 0.750 0.750 1
Ir5 Ir 0.750 0.250 0.250 1
Ir6 Ir 0.750 0.250 0.750 1
Ir7 Ir 0.750 0.750 0.250 1
Ir8 Ir 0.750 0.750 0.750 1



# ThTiPb2 PBE-GGA relaxed
# Magnetization   1.5 μB per cell
# DFT formation energy   -24 meV per atom
# Calculated total energy   -5.71 eV per atom
data_ThTiPb2
_symmetry_space_group_name_H-M 'P 1'
_symmetry_Int_Tables_number 1
_cell_length_a 4.859
_cell_length_b 4.859
_cell_length_c 15.876
_cell_angle_alpha 90.00
_cell_angle_beta 90.00
_cell_angle_gamma 120.00
loop_
_symmetry_equiv_pos_as_xyz
'x,y,z'
loop_
_atom_site_label
_atom_site_type_symbol
_atom_site_fract_x
_atom_site_fract_y
_atom_site_fract_z
_atom_site_occupancy
Th1 Th 0.000 0.000 0.000 1
Th2 Th 0.333 0.667 0.667 1
Th3 Th 0.667 0.333 0.333 1
Ti1 Ti 0.000 0.000 0.500 1
Ti2 Ti 0.333 0.667 0.167 1
Ti3 Ti 0.667 0.333 0.833 1
Pb1 Pb 0.000 0.000 0.232 1
Pb2 Pb 0.000 0.000 0.768 1
Pb3 Pb 0.333 0.667 0.435 1
Pb4 Pb 0.333 0.667 0.898 1
Pb5 Pb 0.667 0.333 0.102 1
Pb6 Pb 0.667 0.333 0.565 1